CrAsO4 | PBE+U | relaxed

Values from the calculation:
uncorrected energy	-160.4	eV per cell
density of states at the Fermi level	0.00	states/eV/cell
theoretical density	4.55	g/cm³

a = 6.298 Å, b = 6.615 Å, c = 6.690 Å
α = 90.00°, β = 90.00°, γ = 90.00°
Space group Imma (No. 74)
Inequivalent atoms, fractional coordinates:
Cr 0.000 0.250 0.208
As 0.000 0.250 0.628
O 0.000 0.052 0.788
O 0.199 0.250 0.441